(1)
This record from Alexandria via LeMat-Bulk describes an optimized crystal structure of KIn3Ag2. The functional is PBE.

Cell and atoms, written as CIF:
```
data_KIn3Ag2
_chemical_formula_sum 'K4 In12 Ag8'
_cell_length_a 11.671
_cell_length_b 9.665
_cell_length_c 5.738
_cell_angle_alpha 90.00
_cell_angle_beta 90.00
_cell_angle_gamma 90.00
_symmetry_space_group_name_H-M 'C m c m'
_symmetry_Int_Tables_number 63
_symmetry_space_group_name_Hall '-C 2c 2'
loop_
_atom_site_label
_atom_site_type_symbol
_atom_site_fract_x
_atom_site_fract_y
_atom_site_fract_z
K1 K 0.000 0.153 0.250
In1 In 0.000 0.436 0.750
In2 In 0.189 0.230 0.750
Ag1 Ag 0.222 0.500 0.000
```

Summary:
ΔE_f ... -84 meV/atom

(2)
This record from Alexandria via LeMat-Bulk describes an optimized crystal structure of HfCd. The functional is PBE.

Cell and atoms, written as CIF:
```
data_HfCd
_chemical_formula_sum 'Hf8 Cd8'
_cell_length_a 9.089
_cell_length_b 9.089
_cell_length_c 9.089
_cell_angle_alpha 90.00
_cell_angle_beta 90.00
_cell_angle_gamma 90.00
_symmetry_space_group_name_H-M 'I -4 3 m'
_symmetry_Int_Tables_number 217
_symmetry_space_group_name_Hall 'I -4 2 3'
loop_
_atom_site_label
_atom_site_type_symbol
_atom_site_fract_x
_atom_site_fract_y
_atom_site_fract_z
Hf1 Hf 0.113 0.113 0.887
Cd1 Cd 0.196 0.196 0.196
```

Summary:
ΔE_f ... 1143 meV/atom

(3)
This record from Alexandria via LeMat-Bulk describes an optimized crystal structure of Tm6Si2Te3Se. The functional is PBE.

Cell and atoms, written as CIF:
```
data_Tm6Si2Te3Se
_chemical_formula_sum 'Tm12 Si4 Te6 Se2'
_cell_length_a 18.409
_cell_length_b 4.151
_cell_length_c 8.475
_cell_angle_alpha 90.00
_cell_angle_beta 104.72
_cell_angle_gamma 90.00
_symmetry_space_group_name_H-M 'C 1 2/m 1'
_symmetry_Int_Tables_number 12
loop_
_symmetry_equiv_pos_as_xyz
'x,y,z'
'-x,-y,-z'
'-x,y,-z'
'x,-y,z'
'x+1/2,y+1/2,z'
'-x+1/2,-y+1/2,-z'
'-x+1/2,y+1/2,-z'
'x+1/2,-y+1/2,z'
loop_
_atom_site_label
_atom_site_type_symbol
_atom_site_fract_x
_atom_site_fract_y
_atom_site_fract_z
Tm1 Tm 0.013 0.000 0.242
Tm2 Tm 0.165 0.500 0.110
Tm3 Tm 0.174 0.500 0.564
Si1 Si 0.167 0.000 0.332
Te1 Te 0.000 0.500 0.500
Te2 Te 0.162 0.000 0.834
Se1 Se 0.000 0.500 0.000
```

Summary:
Energy relative to the elements, uncorrected ... -1.23 eV per atom

(4)
This record from Alexandria via LeMat-Bulk describes an optimized crystal structure of Sm2Y3Tm2. The functional is PBE.

Cell and atoms, written as CIF:
```
data_Sm2Y3Tm2
_chemical_formula_sum 'Sm8 Y12 Tm8'
_cell_length_a 9.743
_cell_length_b 9.743
_cell_length_c 9.743
_cell_angle_alpha 90.00
_cell_angle_beta 90.00
_cell_angle_gamma 90.00
_symmetry_space_group_name_H-M 'I 21 3'
_symmetry_Int_Tables_number 199
_symmetry_space_group_name_Hall 'I 2b 2c 3'
loop_
_atom_site_label
_atom_site_type_symbol
_atom_site_fract_x
_atom_site_fract_y
_atom_site_fract_z
Sm1 Sm 0.154 0.346 0.654
Y1 Y 0.000 0.250 0.311
Tm1 Tm 0.046 0.046 0.046
```

Summary:
ΔE_f ... 236 meV/atom
E above lowest polymorph ... 0.111 eV per atom

(5)
This record from Alexandria via LeMat-Bulk describes an optimized crystal structure of YMg2Sc. The functional is PBE.

Cell and atoms, written as CIF:
```
data_YMg2Sc
_chemical_formula_sum 'Y1 Mg2 Sc1'
_cell_length_a 3.688
_cell_length_b 3.688
_cell_length_c 7.469
_cell_angle_alpha 90.00
_cell_angle_beta 90.00
_cell_angle_gamma 90.00
_symmetry_space_group_name_H-M 'P 4/m m m'
_symmetry_Int_Tables_number 123
_symmetry_space_group_name_Hall '-P 4 2'
loop_
_atom_site_label
_atom_site_type_symbol
_atom_site_fract_x
_atom_site_fract_y
_atom_site_fract_z
Y1 Y 0.000 0.000 0.000
Mg1 Mg 0.500 0.500 0.270
Sc1 Sc 0.000 0.000 0.500
```

Summary:
ΔE_f ... -69 meV/atom
E above lowest polymorph ... 0.000 eV per atom

(6)
This record from Alexandria via LeMat-Bulk describes an optimized crystal structure of Sm2GaGe3Rh4. The functional is PBE.

Cell and atoms, written as CIF:
```
data_Sm2GaGe3Rh4
_chemical_formula_sum 'Sm2 Ga1 Ge3 Rh4'
_cell_length_a 4.248
_cell_length_b 4.248
_cell_length_c 10.113
_cell_angle_alpha 90.00
_cell_angle_beta 90.00
_cell_angle_gamma 90.00
_symmetry_space_group_name_H-M 'P -4 m 2'
_symmetry_Int_Tables_number 115
loop_
_symmetry_equiv_pos_as_xyz
'x,y,z'
'y,-x,-z'
'-x,-y,z'
'-y,x,-z'
'-x,y,z'
'-y,-x,-z'
'x,-y,z'
'y,x,-z'
loop_
_atom_site_label
_atom_site_type_symbol
_atom_site_fract_x
_atom_site_fract_y
_atom_site_fract_z
Sm1 Sm 0.000 0.500 0.248
Ga1 Ga 0.500 0.500 0.000
Ge1 Ge 0.000 0.000 0.000
Ge2 Ge 0.000 0.500 0.630
Rh1 Rh 0.000 0.000 0.500
Rh2 Rh 0.000 0.500 0.870
Rh3 Rh 0.500 0.500 0.500
```

Summary:
ΔE_f ... -872 meV/atom

(7)
This record from Alexandria via LeMat-Bulk describes an optimized crystal structure of TaHgSe4. The functional is PBE.

Cell and atoms, written as CIF:
```
data_TaHgSe4
_chemical_formula_sum 'Ta4 Hg4 Se16'
_cell_length_a 8.038
_cell_length_b 8.038
_cell_length_c 8.038
_cell_angle_alpha 90.00
_cell_angle_beta 90.00
_cell_angle_gamma 90.00
_symmetry_space_group_name_H-M 'F -4 3 m'
_symmetry_Int_Tables_number 216
_symmetry_space_group_name_Hall 'F -4 2 3'
loop_
_atom_site_label
_atom_site_type_symbol
_atom_site_fract_x
_atom_site_fract_y
_atom_site_fract_z
Ta1 Ta 0.000 0.000 0.000
Hg1 Hg 0.250 0.250 0.750
Se1 Se 0.126 0.126 0.374
```

Summary:
Energy relative to the elements, uncorrected ... 0.90 eV per atom
E above lowest polymorph ... 1.298 eV per atom

(8)
This record from Alexandria via LeMat-Bulk describes an optimized crystal structure of Tb4NdDy2Ho2. The functional is PBE.

Cell and atoms, written as CIF:
```
data_Tb4NdDy2Ho2
_chemical_formula_sum 'Tb8 Nd2 Dy4 Ho4'
_cell_length_a 15.112
_cell_length_b 5.029
_cell_length_c 7.966
_cell_angle_alpha 90.00
_cell_angle_beta 108.44
_cell_angle_gamma 90.00
_symmetry_space_group_name_H-M 'C 1 2/m 1'
_symmetry_Int_Tables_number 12
loop_
_symmetry_equiv_pos_as_xyz
'x,y,z'
'-x,-y,-z'
'-x,y,-z'
'x,-y,z'
'x+1/2,y+1/2,z'
'-x+1/2,-y+1/2,-z'
'-x+1/2,y+1/2,-z'
'x+1/2,-y+1/2,z'
loop_
_atom_site_label
_atom_site_type_symbol
_atom_site_fract_x
_atom_site_fract_y
_atom_site_fract_z
Tb1 Tb 0.056 0.000 0.334
Tb2 Tb 0.223 0.500 0.333
Nd1 Nd 0.000 0.500 0.000
Dy1 Dy 0.111 0.500 0.665
Ho1 Ho 0.168 0.000 0.000
```

Summary:
ΔE_f ... 18 meV/atom

(9)
This record from Alexandria via LeMat-Bulk describes an optimized crystal structure of PrDyPSe. The functional is PBE.

Cell and atoms, written as CIF:
```
data_PrDyPSe
_chemical_formula_sum 'Pr3 Dy3 P3 Se3'
_cell_length_a 4.0552
_cell_length_b 4.0552
_cell_length_c 21.4106
_cell_angle_alpha 90.00
_cell_angle_beta 90.00
_cell_angle_gamma 120.00
_symmetry_space_group_name_H-M 'R 3 m'
_symmetry_Int_Tables_number 160
_symmetry_space_group_name_Hall 'R 3 -2"'
loop_
_atom_site_label
_atom_site_type_symbol
_atom_site_fract_x
_atom_site_fract_y
_atom_site_fract_z
Pr1 Pr 0.0000 0.0000 0.0000
Dy1 Dy 0.0000 0.0000 0.8162
P1 P 0.0000 0.0000 0.4136
Se1 Se 0.0000 0.0000 0.2363
```

Summary:
Energy relative to the elements, uncorrected ... -1.72 eV per atom

(10)
This record from Alexandria via LeMat-Bulk describes an optimized crystal structure of Li2CrCl. The functional is PBE.

Cell and atoms, written as CIF:
```
data_Li2CrCl
_chemical_formula_sum 'Li4 Cr2 Cl2'
_cell_length_a 3.905
_cell_length_b 3.905
_cell_length_c 10.052
_cell_angle_alpha 90.00
_cell_angle_beta 90.00
_cell_angle_gamma 90.00
_symmetry_space_group_name_H-M 'I 4/m m m'
_symmetry_Int_Tables_number 139
_symmetry_space_group_name_Hall '-I 4 2'
loop_
_atom_site_label
_atom_site_type_symbol
_atom_site_fract_x
_atom_site_fract_y
_atom_site_fract_z
Li1 Li 0.000 0.500 0.250
Cr1 Cr 0.000 0.000 0.000
Cl1 Cl 0.000 0.000 0.500
```

Summary:
Energy relative to the elements, uncorrected ... 0.12 eV per atom
E above lowest polymorph ... 0.462 eV per atom

(11)
This record from Alexandria via LeMat-Bulk describes an optimized crystal structure of LaOsO4. The functional is PBE.

Cell and atoms, written as CIF:
```
data_LaOsO4
_chemical_formula_sum 'La2 Os2 O8'
_cell_length_a 3.792
_cell_length_b 3.792
_cell_length_c 12.258
_cell_angle_alpha 90.00
_cell_angle_beta 90.00
_cell_angle_gamma 90.00
_symmetry_space_group_name_H-M 'P 4/n m m'
_symmetry_Int_Tables_number 129
loop_
_symmetry_equiv_pos_as_xyz
'x,y,z'
'-x,-y,-z'
'-y+1/2,x,z'
'y+1/2,-x,-z'
'-x+1/2,-y+1/2,z'
'x+1/2,y+1/2,-z'
'y,-x+1/2,z'
'-y,x+1/2,-z'
'x+1/2,-y,-z'
'-x+1/2,y,z'
'-y,-x,-z'
'y,x,z'
'-x,y+1/2,-z'
'x,-y+1/2,z'
'y+1/2,x+1/2,-z'
'-y+1/2,-x+1/2,z'
loop_
_atom_site_label
_atom_site_type_symbol
_atom_site_fract_x
_atom_site_fract_y
_atom_site_fract_z
La1 La 0.250 0.250 0.110
Os1 Os 0.250 0.250 0.648
O1 O 0.250 0.250 0.806
O2 O 0.250 0.750 0.000
O3 O 0.250 0.750 0.363
```

Summary:
Energy relative to the elements, uncorrected ... -1.87 eV per atom
E above lowest polymorph ... 0.008 eV per atom

(12)
This record from Alexandria via LeMat-Bulk describes an optimized crystal structure of NiRhW3. The functional is PBE.

Cell and atoms, written as CIF:
```
data_NiRhW3
_chemical_formula_sum 'Ni1 Rh1 W3'
_cell_length_a 4.429
_cell_length_b 4.429
_cell_length_c 4.429
_cell_angle_alpha 90.00
_cell_angle_beta 90.00
_cell_angle_gamma 90.00
_symmetry_space_group_name_H-M 'P m -3 m'
_symmetry_Int_Tables_number 221
_symmetry_space_group_name_Hall '-P 4 2 3'
loop_
_atom_site_label
_atom_site_type_symbol
_atom_site_fract_x
_atom_site_fract_y
_atom_site_fract_z
Ni1 Ni 0.000 0.000 0.000
Rh1 Rh 0.500 0.500 0.500
W1 W 0.000 0.000 0.500
```

Summary:
ΔE_f ... 1510 meV/atom
E above lowest polymorph ... 0.000 eV per atom

Number 1: magnetic moment 0.0 μB per cell. Number 2: magnetic moment 5.1 μB per cell. Number 3: magnetic moment 0.0 μB per cell. Number 4: magnetic moment 0.0 μB per cell. Number 5: magnetic moment 0.0 μB per cell. Number 6: magnetic moment 0.0 μB per cell. Number 7: magnetic moment 8.8 μB per cell. Number 8: magnetic moment 0.0 μB per cell. Number 9: magnetic moment 0.0 μB per cell. Number 10: magnetic moment 9.8 μB per cell. Number 11: magnetic moment 0.2 μB per cell. Number 12: magnetic moment 0.0 μB per cell.